Entry 1:
# LaTl2TeO6 PBE optimized geometry
# Magnetic moment: 0.00 μB/f.u.
data_LaTl2TeO6
_space_group_name_H-M_alt 'P 1'
_space_group_IT_number 1
_cell_length_a 6.0964
_cell_length_b 8.6450
_cell_length_c 6.1213
_cell_angle_alpha 90.00
_cell_angle_beta 90.00
_cell_angle_gamma 90.00
loop_
_space_group_symop_operation_xyz
'x,y,z'
loop_
_atom_site_label
_atom_site_type_symbol
_atom_site_fract_x
_atom_site_fract_y
_atom_site_fract_z
La1 La 0.2500 0.2500 0.2441
La2 La 0.7500 0.7500 0.7559
Tl1 Tl 0.2500 0.0019 0.7411
Tl2 Tl 0.2500 0.4981 0.7411
Tl3 Tl 0.7500 0.5019 0.2589
Tl4 Tl 0.7500 0.9981 0.2589
Te1 Te 0.2500 0.7500 0.2532
Te2 Te 0.7500 0.2500 0.7468
O1 O 0.0229 0.7500 0.0284
O2 O 0.0232 0.7500 0.4798
O3 O 0.2500 0.5237 0.2560
O4 O 0.2500 0.9763 0.2560
O5 O 0.4771 0.7500 0.0284
O6 O 0.4768 0.7500 0.4798
O7 O 0.5232 0.2500 0.5202
O8 O 0.5229 0.2500 0.9716
O9 O 0.7500 0.0237 0.7440
O10 O 0.7500 0.4763 0.7440
O11 O 0.9768 0.2500 0.5202
O12 O 0.9771 0.2500 0.9716

Entry 2:
# LaTlTe2O8 PBE optimized geometry
# Magnetic moment: 0.00 μB/f.u.
data_LaTlTe2O8
_space_group_name_H-M_alt 'P 1'
_space_group_IT_number 1
_cell_length_a 6.1586
_cell_length_b 6.1586
_cell_length_c 7.9888
_cell_angle_alpha 90.00
_cell_angle_beta 90.00
_cell_angle_gamma 120.00
loop_
_space_group_symop_operation_xyz
'x,y,z'
loop_
_atom_site_label
_atom_site_type_symbol
_atom_site_fract_x
_atom_site_fract_y
_atom_site_fract_z
La1 La 0.0000 0.0000 0.0000
Tl1 Tl 0.0000 0.0000 0.5000
Te1 Te 0.3333 0.6667 0.2757
Te2 Te 0.6667 0.3333 0.7243
O1 O 0.1678 0.3443 0.1902
O2 O 0.1765 0.8322 0.1902
O3 O 0.3333 0.6667 0.5034
O4 O 0.3443 0.1765 0.8098
O5 O 0.6557 0.8235 0.1902
O6 O 0.6667 0.3333 0.4966
O7 O 0.8235 0.1678 0.8098
O8 O 0.8322 0.6557 0.8098

Entry 3:
# LaTl2TeO8 PBE optimized geometry
# Magnetic moment: 1.07 μB/f.u.
data_LaTl2TeO8
_space_group_name_H-M_alt 'P 1'
_space_group_IT_number 1
_cell_length_a 4.8641
_cell_length_b 7.1582
_cell_length_c 5.0676
_cell_angle_alpha 90.00
_cell_angle_beta 90.86
_cell_angle_gamma 90.00
loop_
_space_group_symop_operation_xyz
'x,y,z'
loop_
_atom_site_label
_atom_site_type_symbol
_atom_site_fract_x
_atom_site_fract_y
_atom_site_fract_z
La1 La 0.0000 0.0000 0.0000
Tl1 Tl 0.5000 0.2626 0.5000
Tl2 Tl 0.5000 0.7374 0.5000
Te1 Te 0.0000 0.5000 0.0000
O1 O 0.1496 0.2932 0.7945
O2 O 0.1496 0.7068 0.7945
O3 O 0.3184 0.5000 0.2471
O4 O 0.4269 0.0000 0.2525
O5 O 0.5731 0.0000 0.7475
O6 O 0.6816 0.5000 0.7529
O7 O 0.8504 0.2932 0.2055
O8 O 0.8504 0.7068 0.2055

Entry 4:
# LaTl3Te2O9 PBE optimized geometry
# Magnetic moment: 0.00 μB/f.u.
data_LaTl3Te2O9
_space_group_name_H-M_alt 'P 1'
_space_group_IT_number 1
_cell_length_a 5.9974
_cell_length_b 5.9974
_cell_length_c 7.5075
_cell_angle_alpha 90.00
_cell_angle_beta 90.00
_cell_angle_gamma 120.00
loop_
_space_group_symop_operation_xyz
'x,y,z'
loop_
_atom_site_label
_atom_site_type_symbol
_atom_site_fract_x
_atom_site_fract_y
_atom_site_fract_z
La1 La 0.0000 0.0000 0.0000
Tl1 Tl 0.0000 0.0000 0.5000
Tl2 Tl 0.3333 0.6667 0.1755
Tl3 Tl 0.6667 0.3333 0.8245
Te1 Te 0.3333 0.6667 0.6612
Te2 Te 0.6667 0.3333 0.3388
O1 O 0.0000 0.5000 0.5000
O2 O 0.1796 0.3592 0.8025
O3 O 0.1796 0.8204 0.8025
O4 O 0.3592 0.1796 0.1975
O5 O 0.5000 0.0000 0.5000
O6 O 0.5000 0.5000 0.5000
O7 O 0.6408 0.8204 0.8025
O8 O 0.8204 0.1796 0.1975
O9 O 0.8204 0.6408 0.1975

Entry 5:
# LaTmTeO2 PBE optimized geometry
# Magnetic moment: 0.00 μB/f.u.
data_LaTmTeO2
_space_group_name_H-M_alt 'P 1'
_space_group_IT_number 1
_cell_length_a 6.9735
_cell_length_b 4.1511
_cell_length_c 7.9324
_cell_angle_alpha 90.00
_cell_angle_beta 107.66
_cell_angle_gamma 90.00
loop_
_space_group_symop_operation_xyz
'x,y,z'
loop_
_atom_site_label
_atom_site_type_symbol
_atom_site_fract_x
_atom_site_fract_y
_atom_site_fract_z
La1 La 0.1833 0.2500 0.4261
La2 La 0.8167 0.7500 0.5739
Tm1 Tm 0.1513 0.2500 0.9144
Tm2 Tm 0.8487 0.7500 0.0856
Te1 Te 0.4511 0.7500 0.7601
Te2 Te 0.5489 0.2500 0.2399
O1 O 0.0120 0.7500 0.8888
O2 O 0.0152 0.7500 0.3687
O3 O 0.9848 0.2500 0.6313
O4 O 0.9880 0.2500 0.1112

Entry 6:
# LaTmTe2O8 PBE optimized geometry
# Magnetic moment: 0.00 μB/f.u.
data_LaTmTe2O8
_space_group_name_H-M_alt 'P 1'
_space_group_IT_number 1
_cell_length_a 6.3331
_cell_length_b 6.3331
_cell_length_c 6.3331
_cell_angle_alpha 107.40
_cell_angle_beta 107.40
_cell_angle_gamma 113.70
loop_
_space_group_symop_operation_xyz
'x,y,z'
loop_
_atom_site_label
_atom_site_type_symbol
_atom_site_fract_x
_atom_site_fract_y
_atom_site_fract_z
La1 La 0.0000 0.0000 0.0000
Tm1 Tm 0.2500 0.7500 0.5000
Te1 Te 0.5000 0.5000 0.0000
Te2 Te 0.7500 0.2500 0.5000
O1 O 0.3043 0.1101 0.8059
O2 O 0.3043 0.4984 0.1941
O3 O 0.3743 0.0515 0.3228
O4 O 0.5016 0.6957 0.8059
O5 O 0.7287 0.0515 0.6772
O6 O 0.8899 0.6957 0.1941
O7 O 0.9485 0.2713 0.3228
O8 O 0.9485 0.6257 0.6772

Entry 7:
# LaUTe2O PBE optimized geometry
# Magnetic moment: 2.66 μB/f.u.
data_LaUTe2O
_space_group_name_H-M_alt 'P 1'
_space_group_IT_number 1
_cell_length_a 4.2626
_cell_length_b 4.2626
_cell_length_c 16.0282
_cell_angle_alpha 90.00
_cell_angle_beta 90.00
_cell_angle_gamma 90.00
loop_
_space_group_symop_operation_xyz
'x,y,z'
loop_
_atom_site_label
_atom_site_type_symbol
_atom_site_fract_x
_atom_site_fract_y
_atom_site_fract_z
La1 La 0.2500 0.2500 0.1360
La2 La 0.7500 0.7500 0.8640
U1 U 0.2500 0.2500 0.5635
U2 U 0.7500 0.7500 0.4365
Te1 Te 0.2500 0.2500 0.3321
Te2 Te 0.2500 0.2500 0.9165
Te3 Te 0.7500 0.7500 0.0835
Te4 Te 0.7500 0.7500 0.6679
O1 O 0.2500 0.7500 0.5000
O2 O 0.7500 0.2500 0.5000

Q: Which energy relative to the elements, uncorrected values were calculated for the entries above? A: -1.487, -1.409, -1.216, -1.262, -2.990, -1.941, -1.788, in eV per atom.